[1]
Entry from the Alexandria database: a relaxed structure of InHg4H2 (PBE).

The structure belongs to space group Cmmm (No. 65); the cell edges are 5.392, 16.300 and 3.424 Å and the angles 90.00°, 90.00° and 90.00°. Symmetry generates all atoms from In at (0.000, 0.000, 0.000), Hg at (0.000, 0.194, 0.000), Hg at (0.000, 0.417, 0.500) and H at (0.000, 0.311, 0.500).

The calculation puts the spin magnetization at 0.00 μB/f.u. The crystal system is orthorhombic. The electronic total energy is -1.285 eV/atom. As for the volume: 300.93 Å³ per cell.

[2]
Entry from the Alexandria database: a relaxed structure of SrGePtSe2 (PBE).

The structure belongs to space group P4/mmm (No. 123); the cell edges are 5.390, 5.390 and 4.587 Å and the angles 90.00°, 90.00° and 90.00°. Symmetry generates all atoms from Sr at (0.000, 0.000, 0.000), Ge at (0.500, 0.500, 0.000), Pt at (0.500, 0.500, 0.500) and Se at (0.000, 0.500, 0.500).

The calculation puts the spin magnetization at 0.00 μB/f.u. The crystal system is tetragonal. The electronic total energy is -4.427 eV/atom. As for the volume: 133.24 Å³ per cell.

Number 1: theoretical density 10.144 Mg/m³. Number 2: theoretical density 6.397 Mg/m³.